# TiZnPdRh2 (PBE, optimized geometry)
# final energy: -4.790 eV/atom
data_TiZnPdRh2
_chemical_formula_sum 'Ti1 Zn1 Pd1 Rh2'
_cell_length_a 4.860
_cell_length_b 4.860
_cell_length_c 4.420
_cell_angle_alpha 90.00
_cell_angle_beta 90.00
_cell_angle_gamma 90.00
_symmetry_space_group_name_H-M 'P 4/m m m'
_symmetry_Int_Tables_number 123
_symmetry_space_group_name_Hall '-P 4 2'
loop_
_atom_site_label
_atom_site_type_symbol
_atom_site_fract_x
_atom_site_fract_y
_atom_site_fract_z
Ti1 Ti 0.000 0.000 0.000
Zn1 Zn 0.500 0.500 0.000
Pd1 Pd 0.000 0.000 0.500
Rh1 Rh 0.000 0.500 0.500